Here is a relaxed Tl7C5 crystal from Alexandria. Energies are from GGA-PBE.

a = 8.063 Å, b = 8.063 Å, c = 8.063 Å
α = 125.45°, β = 125.45°, γ = 80.80°
Positions (direct):
1 C 0.907 0.907 0.795
2 C 0.112 0.907 0.000
3 C 0.112 0.112 0.205
4 C 0.911 0.911 0.000
5 C 0.907 0.112 0.000
6 Tl 0.001 0.501 0.500
7 Tl 0.462 0.753 0.709
8 Tl 0.043 0.753 0.291
9 Tl 0.753 0.462 0.709
10 Tl 0.238 0.238 0.000
11 Tl 0.501 0.001 0.500
12 Tl 0.753 0.043 0.291

Results
Calculated volume in Å³/cell: 335.4
E_tot in eV per atom: -4.101
Energy of formation in eV/atom: 1.1223